Material: Tb5ThBi6
Method: DFT, PBE-GGA
State: optimized geometry

Cell lengths 7.803, 7.803, 7.808 Å; angles 99.60, 99.60, 119.98 degrees
Fractional positions:
Bi (0.746, 0.746, 0.251)
Bi (0.422, 0.085, 0.253)
Bi (0.085, 0.422, 0.253)
Bi (0.915, 0.578, 0.747)
Bi (0.578, 0.915, 0.747)
Bi (0.254, 0.254, 0.749)
Tb (0.667, 0.333, 0.000)
Tb (0.333, 0.667, 0.000)
Tb (0.835, 0.165, 0.500)
Tb (0.500, 0.500, 0.500)
Tb (0.165, 0.835, 0.500)
Th (0.000, 0.000, 0.000)

The value obtained for the calculated total energy is -65.09 eV/cell. As for the space-group type: C2/m.

Material: Tb3ThBi4
Method: DFT, PBE-GGA
State: optimized geometry

Cell lengths 7.810, 7.810, 4.520 Å; angles 90.00, 90.00, 109.50 degrees
Fractional positions:
Bi (0.255, 0.255, 0.000)
Bi (0.745, 0.745, 0.000)
Bi (0.748, 0.252, 0.500)
Bi (0.252, 0.748, 0.500)
Tb (0.500, 0.000, 0.000)
Tb (0.000, 0.500, 0.000)
Tb (0.500, 0.500, 0.500)
Th (0.000, 0.000, 0.500)

The value obtained for the calculated total energy is -44.10 eV/cell. As for the space-group type: Cmmm.

Material: TbThBi
Method: DFT, PBE-GGA
State: optimized geometry

Cell lengths 5.270, 5.270, 5.270 Å; angles 60.00, 60.00, 60.00 degrees
Fractional positions:
Bi (0.000, 0.000, 0.000)
Tb (0.250, 0.250, 0.250)
Th (0.750, 0.750, 0.750)

The value obtained for the calculated total energy is -16.33 eV/cell. As for the space-group type: F-43m.

Material: TbTm5Bi6
Method: DFT, PBE-GGA
State: optimized geometry

Cell lengths 7.669, 7.669, 7.669 Å; angles 99.60, 99.60, 119.99 degrees
Fractional positions:
Bi (0.747, 0.747, 0.250)
Bi (0.420, 0.084, 0.252)
Bi (0.084, 0.420, 0.252)
Bi (0.916, 0.580, 0.748)
Bi (0.580, 0.916, 0.748)
Bi (0.253, 0.253, 0.750)
Tb (0.000, 0.000, 0.000)
Tm (0.667, 0.333, 0.000)
Tm (0.333, 0.667, 0.000)
Tm (0.835, 0.165, 0.500)
Tm (0.500, 0.500, 0.500)
Tm (0.165, 0.835, 0.500)

The value obtained for the calculated total energy is -61.07 eV/cell. As for the space-group type: C2/m.